The following is a DFT calculation (GGA-PBE) of a geometry-optimized Lu2Al3Mo4C3 structure.

Cell lengths 5.472, 5.472, 14.039 Å; angles 101.74, 101.74, 60.15 degrees
Sites, in units of the cell vectors:
Al1 0.094 0.413 0.248
Al2 0.078 0.922 0.250
Al3 0.587 0.906 0.252
Al4 0.413 0.094 0.748
Al5 0.922 0.078 0.750
Al6 0.906 0.587 0.752
C1 0.500 0.000 0.000
C2 0.840 0.330 0.000
C3 0.160 0.670 0.000
C4 0.330 0.840 0.500
C5 0.000 0.500 0.500
C6 0.670 0.160 0.500
Lu1 0.541 0.379 0.115
Lu2 0.621 0.459 0.385
Lu3 0.379 0.541 0.615
Lu4 0.459 0.621 0.885
Mo1 0.849 0.694 0.078
Mo2 0.205 0.016 0.078
Mo3 0.984 0.795 0.422
Mo4 0.306 0.151 0.422
Mo5 0.694 0.849 0.578
Mo6 0.016 0.205 0.578
Mo7 0.795 0.984 0.922
Mo8 0.151 0.306 0.922

Symmetry ... C2/c (15)
DFT total energy ... -8.021 eV per atom